No. 1
Ac2CuPb3 after structural relaxation, computed with PBE-GGA.

* energy relative to the elements: -0.319 eV per atom
* SG: Pmm2

a b c (Å): 4.646 4.842 8.620
angles (deg): 90.00 90.00 90.00
Element x y z (fractional)
Ac: 0.000 0.000 0.504
Ac: 0.000 0.500 0.009
Pb: 0.500 0.000 0.202
Pb: 0.500 0.000 0.845
Pb: 0.500 0.500 0.627
Cu: 0.500 0.500 0.315

---

No. 2
DyGa2Ru after structural relaxation, computed with PBE-GGA.

* energy relative to the elements: -0.502 eV per atom
* SG: R-3m

a b c (Å): 4.232 4.232 5.487
angles (deg): 67.32 67.32 60.00
Element x y z (fractional)
Dy: 0.500 0.500 0.500
Ru: 0.000 0.000 0.000
Ga: 0.716 0.716 0.851
Ga: 0.284 0.284 0.149

---

No. 3
HfPa2H6 after structural relaxation, computed with PBE-GGA.

* SG: C2/m

a b c (Å): 3.258 5.773 5.917
angles (deg): 119.20 105.77 90.00
Element x y z (fractional)
H: 0.837 0.615 0.671
H: 0.500 0.801 0.000
H: 0.500 0.199 0.000
H: 0.163 0.944 0.329
H: 0.163 0.385 0.329
H: 0.837 0.056 0.671
Pa: 0.357 0.355 0.710
Pa: 0.643 0.645 0.290
Hf: 0.000 0.000 0.000

---

No. 4
CaDy2Th3Bi6 after structural relaxation, computed with PBE-GGA.

* energy relative to the elements: -0.725 eV per atom
* SG: C2/m

a b c (Å): 4.566 9.097 10.175
angles (deg): 102.43 102.97 90.00
Element x y z (fractional)
Ca: 0.500 0.000 0.000
Th: 0.500 0.500 0.000
Th: 0.165 0.833 0.330
Th: 0.835 0.167 0.670
Bi: 0.331 0.421 0.662
Bi: 0.667 0.089 0.334
Bi: 0.003 0.249 0.005
Bi: 0.669 0.579 0.338
Bi: 0.997 0.751 0.995
Bi: 0.333 0.911 0.666
Dy: 0.167 0.334 0.333
Dy: 0.833 0.666 0.667

---

No. 5
Hg2Os2I after structural relaxation, computed with PBE-GGA.

* SG: I4/mmm
* ΔE to the lowest computed polymorph: 230 meV per atom

a b c (Å): 4.181 4.181 6.894
angles (deg): 72.35 72.35 90.00
Each line ends with the local moment (μB).
Element x y z (fractional)
Hg: 0.250 0.750 0.500  0.01
Hg: 0.750 0.250 0.500  0.01
Os: 0.593 0.593 0.813  0.39
Os: 0.407 0.407 0.187  0.39
I: 0.000 0.000 0.000  0.01

---

No. 6
NaNiSb6 after structural relaxation, computed with PBE-GGA.

* SG: C2/m

a b c (Å): 7.947 7.947 9.262
angles (deg): 112.28 101.22 109.35
Element x y z (fractional)
Sb: 0.538 0.169 0.368
Sb: 0.884 0.374 0.258
Sb: 0.709 0.814 0.212
Sb: 0.397 0.503 0.212
Sb: 0.199 0.830 0.368
Sb: 0.116 0.626 0.742
Sb: 0.842 0.679 0.521
Sb: 0.291 0.186 0.788
Sb: 0.462 0.831 0.632
Sb: 0.603 0.497 0.788
Sb: 0.158 0.321 0.479
Sb: 0.801 0.170 0.632
Ni: 0.500 0.500 0.500
Ni: 0.000 0.000 0.500
Na: 0.500 0.000 0.000
Na: 0.000 0.500 0.000

---

No. 7
Cs3Au2I7 after structural relaxation, computed with PBE-GGA.

* SG: I4/mmm
* ΔE to the lowest computed polymorph: 0 meV per atom

a b c (Å): 5.888 5.894 15.723
angles (deg): 100.80 100.79 90.00
Element x y z (fractional)
I: 0.908 0.408 0.817
I: 0.092 0.592 0.183
I: 0.408 0.908 0.817
I: 0.000 0.000 0.000
I: 0.592 0.092 0.183
I: 0.191 0.191 0.382
I: 0.809 0.809 0.618
Au: 0.096 0.096 0.191
Au: 0.904 0.904 0.809
Cs: 0.321 0.321 0.642
Cs: 0.500 0.500 0.000
Cs: 0.679 0.679 0.358

---

No. 8
RbTc2Bi2 after structural relaxation, computed with PBE-GGA.

* energy relative to the elements: 0.425 eV per atom
* SG: I4/mmm
* ΔE to the lowest computed polymorph: 0 meV per atom

a b c (Å): 5.247 5.247 6.099
angles (deg): 64.52 64.52 90.00
Each line ends with the local moment (μB).
Element x y z (fractional)
Tc: 0.388 0.388 0.223  0.26
Tc: 0.612 0.612 0.777  0.26
Bi: 0.750 0.250 0.500  0.00
Bi: 0.250 0.750 0.500  0.00
Rb: 0.000 0.000 0.000  0.00

---

Number 1: electronic total energy -4.225 eV per atom, Fermi-level density of states 4.3 states/eV/cell. Number 2: electronic total energy -5.485 eV per atom, Fermi-level density of states 1.9 states/eV/cell. Number 3: electronic total energy -5.805 eV per atom, Fermi-level density of states 6.7 states/eV/cell. Number 4: electronic total energy -5.454 eV per atom, Fermi-level density of states 5.1 states/eV/cell. Number 5: electronic total energy -3.581 eV per atom, Fermi-level density of states 6.2 states/eV/cell. Number 6: electronic total energy -4.005 eV per atom, Fermi-level density of states 6.6 states/eV/cell. Number 7: electronic total energy -2.466 eV per atom, Fermi-level density of states 3.6 states/eV/cell. Number 8: electronic total energy -5.467 eV per atom, Fermi-level density of states 4.2 states/eV/cell.